1.
Here is an optimized crystal structure of CePr2Y from Alexandria. Energies are from PBE.

a = 12.806 Å, b = 12.806 Å, c = 12.806 Å
α = 15.74°, β = 15.74°, γ = 15.74°
Positions (direct):
Ce  0.000  0.000  0.000
Pr  0.088  0.088  0.088
Pr  0.912  0.912  0.912
Y  0.500  0.500  0.500

Computed properties:
DOS(E_F)	8.84	states/eV/cell
DFT formation energy	196	meV/atom

=====

2.
Here is an optimized crystal structure of CePr7Y4 from Alexandria. Energies are from PBE.

a = 8.928 Å, b = 8.928 Å, c = 9.549 Å
α = 116.59°, β = 116.59°, γ = 39.14°
Positions (direct):
Ce  0.000  0.000  0.000
Pr  0.074  0.074  0.698
Pr  0.172  0.172  0.382
Pr  0.286  0.286  0.127
Pr  0.500  0.500  0.000
Pr  0.714  0.714  0.873
Pr  0.828  0.828  0.618
Pr  0.926  0.926  0.302
Y  0.289  0.289  0.771
Y  0.419  0.419  0.562
Y  0.581  0.581  0.438
Y  0.711  0.711  0.229

Computed properties:
DOS(E_F)	22.31	states/eV/cell
DFT formation energy	210	meV/atom

=====

3.
Here is an optimized crystal structure of CePrY6 from Alexandria. Energies are from PBE.

a = 6.571 Å, b = 6.662 Å, c = 7.535 Å
α = 114.99°, β = 115.68°, γ = 90.18°
Positions (direct):
Ce  0.000  0.000  0.000
Pr  0.500  0.000  0.000
Y  0.231  0.917  0.463
Y  0.248  0.500  0.001
Y  0.259  0.443  0.519
Y  0.741  0.557  0.481
Y  0.752  0.500  0.999
Y  0.769  0.083  0.537

Computed properties:
DOS(E_F)	16.74	states/eV/cell
DFT formation energy	212	meV/atom

=====

4.
Here is an optimized crystal structure of CePr5Y8 from Alexandria. Energies are from PBE.

a = 8.560 Å, b = 8.560 Å, c = 9.656 Å
α = 124.26°, β = 124.26°, γ = 74.26°
Positions (direct):
Ce  0.000  0.000  0.000
Pr  0.218  0.564  0.605
Pr  0.386  0.042  0.824
Pr  0.436  0.782  0.395
Pr  0.750  0.250  0.500
Pr  0.958  0.614  0.176
Y  0.078  0.085  0.401
Y  0.173  0.474  0.896
Y  0.322  0.316  0.238
Y  0.526  0.827  0.104
Y  0.578  0.277  0.752
Y  0.684  0.678  0.762
Y  0.723  0.422  0.248
Y  0.915  0.922  0.599

Computed properties:
DOS(E_F)	25.84	states/eV/cell
DFT formation energy	249	meV/atom

=====

5.
Here is an optimized crystal structure of Ce2PrZn from Alexandria. Energies are from PBE.

a = 3.739 Å, b = 3.739 Å, c = 8.132 Å
α = 90.00°, β = 90.00°, γ = 90.00°
Positions (direct):
Ce  0.000  0.000  0.193
Ce  0.000  0.000  0.807
Pr  0.500  0.500  0.500
Zn  0.500  0.500  0.000

Computed properties:
DOS(E_F)	11.45	states/eV/cell
DFT formation energy	-16	meV/atom

=====

6.
Here is an optimized crystal structure of CePr3Zn2 from Alexandria. Energies are from PBE.

a = 3.669 Å, b = 3.669 Å, c = 12.418 Å
α = 90.00°, β = 90.00°, γ = 90.00°
Positions (direct):
Ce  0.000  0.000  0.000
Pr  0.500  0.500  0.198
Pr  0.500  0.500  0.500
Pr  0.500  0.500  0.802
Zn  0.000  0.000  0.347
Zn  0.000  0.000  0.653

Computed properties:
DOS(E_F)	7.85	states/eV/cell
DFT formation energy	-165	meV/atom

=====

What is the formula in the third record?
CePrY6